A plane-wave DFT calculation with PBE was carried out for a geometry-optimized Tl5Ag12Au3 structure.

Summary:
Formation energy from the elements ... 0.34 eV per atom

a b c (Å): 14.1400 14.1400 14.1400
angles (deg): 109.47 109.47 109.47
Last column: nearest neighbours and their distance in Å.
Sites, in units of the cell vectors:
Tl1 0.0000 0.0000 0.0000  6 Ag 2.80
Tl2 0.0000 0.0000 0.5000  6 Ag 2.80
Tl3 0.0000 0.5000 0.0000  6 Ag 2.80
Tl4 0.0000 0.5000 0.5000  6 Ag 2.80
Tl5 0.1250 0.7500 0.8750  4 Ag 2.89
Tl6 0.1250 0.8750 0.2500  4 Ag 2.89
Tl7 0.2500 0.1250 0.8750  4 Ag 2.89
Tl8 0.2500 0.6250 0.3750  4 Ag 2.89
Tl9 0.3750 0.2500 0.6250  4 Ag 2.89
Tl10 0.3750 0.6250 0.7500  4 Ag 2.89
Tl11 0.5000 0.0000 0.0000  6 Ag 2.80
Tl12 0.5000 0.0000 0.5000  6 Ag 2.80
Tl13 0.5000 0.5000 0.0000  6 Ag 2.80
Tl14 0.5000 0.5000 0.5000  6 Ag 2.80
Tl15 0.6250 0.3750 0.2500  4 Ag 2.89
Tl16 0.6250 0.7500 0.3750  4 Ag 2.89
Tl17 0.7500 0.3750 0.6250  4 Ag 2.89
Tl18 0.7500 0.8750 0.1250  4 Ag 2.89
Tl19 0.8750 0.1250 0.7500  4 Ag 2.89
Tl20 0.8750 0.2500 0.1250  4 Ag 2.89
Ag1 0.0718 0.6505 0.4189  1 Ag 2.73, 2 Tl 2.80-2.89, 2 Au 2.81-2.92
Ag2 0.0718 0.9213 0.6529  1 Ag 2.73, 2 Tl 2.80-2.89, 2 Au 2.81-2.92
Ag3 0.0787 0.2316 0.1505  1 Ag 2.73, 2 Tl 2.80-2.89, 2 Au 2.81-2.92
Ag4 0.0787 0.3471 0.9282  1 Ag 2.73, 2 Tl 2.80-2.89, 2 Au 2.81-2.92
Ag5 0.0811 0.7316 0.6529  1 Ag 2.73, 2 Tl 2.80-2.89, 2 Au 2.81-2.92
Ag6 0.0811 0.8495 0.4282  1 Ag 2.73, 2 Tl 2.80-2.89, 2 Au 2.81-2.92
Ag7 0.1505 0.0787 0.2316  1 Ag 2.73, 2 Tl 2.80-2.89, 2 Au 2.81-2.92
Ag8 0.1505 0.5718 0.9189  1 Ag 2.73, 2 Tl 2.80-2.89, 2 Au 2.81-2.92
Ag9 0.1529 0.2316 0.5811  1 Ag 2.73, 2 Tl 2.80-2.89, 2 Au 2.81-2.92
Ag10 0.1529 0.4213 0.5718  1 Ag 2.73, 2 Tl 2.80-2.89, 2 Au 2.81-2.92
Ag11 0.2316 0.1505 0.0787  1 Ag 2.73, 2 Tl 2.80-2.89, 2 Au 2.81-2.92
Ag12 0.2316 0.5811 0.1529  1 Ag 2.73, 2 Tl 2.80-2.89, 2 Au 2.81-2.92
Ag13 0.2684 0.3471 0.9189  1 Ag 2.73, 2 Tl 2.80-2.89, 2 Au 2.81-2.92
Ag14 0.2684 0.4213 0.3495  1 Ag 2.73, 2 Tl 2.80-2.89, 2 Au 2.81-2.92
Ag15 0.3471 0.9189 0.2684  1 Ag 2.73, 2 Tl 2.80-2.89, 2 Au 2.81-2.92
Ag16 0.3471 0.9282 0.0787  1 Ag 2.73, 2 Tl 2.80-2.89, 2 Au 2.81-2.92
Ag17 0.3495 0.2684 0.4213  1 Ag 2.73, 2 Tl 2.80-2.89, 2 Au 2.81-2.92
Ag18 0.3495 0.5811 0.9282  1 Ag 2.73, 2 Tl 2.80-2.89, 2 Au 2.81-2.92
Ag19 0.4189 0.0718 0.6505  1 Ag 2.73, 2 Tl 2.80-2.89, 2 Au 2.81-2.92
Ag20 0.4189 0.8471 0.7684  1 Ag 2.73, 2 Tl 2.80-2.89, 2 Au 2.81-2.92
Ag21 0.4213 0.3495 0.2684  1 Ag 2.73, 2 Tl 2.80-2.89, 2 Au 2.81-2.92
Ag22 0.4213 0.5718 0.1529  1 Ag 2.73, 2 Tl 2.80-2.89, 2 Au 2.81-2.92
Ag23 0.4282 0.0811 0.8495  1 Ag 2.73, 2 Tl 2.80-2.89, 2 Au 2.81-2.92
Ag24 0.4282 0.8471 0.5787  1 Ag 2.73, 2 Tl 2.80-2.89, 2 Au 2.81-2.92
Ag25 0.5718 0.1529 0.4213  1 Ag 2.73, 2 Tl 2.80-2.89, 2 Au 2.81-2.92
Ag26 0.5718 0.9189 0.1505  1 Ag 2.73, 2 Tl 2.80-2.89, 2 Au 2.81-2.92
Ag27 0.5787 0.4282 0.8471  1 Ag 2.73, 2 Tl 2.80-2.89, 2 Au 2.81-2.92
Ag28 0.5787 0.6505 0.7316  1 Ag 2.73, 2 Tl 2.80-2.89, 2 Au 2.81-2.92
Ag29 0.5811 0.1529 0.2316  1 Ag 2.73, 2 Tl 2.80-2.89, 2 Au 2.81-2.92
Ag30 0.5811 0.9282 0.3495  1 Ag 2.73, 2 Tl 2.80-2.89, 2 Au 2.81-2.92
Ag31 0.6505 0.4189 0.0718  1 Ag 2.73, 2 Tl 2.80-2.89, 2 Au 2.81-2.92
Ag32 0.6505 0.7316 0.5787  1 Ag 2.73, 2 Tl 2.80-2.89, 2 Au 2.81-2.92
Ag33 0.6529 0.0718 0.9213  1 Ag 2.73, 2 Tl 2.80-2.89, 2 Au 2.81-2.92
Ag34 0.6529 0.0811 0.7316  1 Ag 2.73, 2 Tl 2.80-2.89, 2 Au 2.81-2.92
Ag35 0.7316 0.5787 0.6505  1 Ag 2.73, 2 Tl 2.80-2.89, 2 Au 2.81-2.92
Ag36 0.7316 0.6529 0.0811  1 Ag 2.73, 2 Tl 2.80-2.89, 2 Au 2.81-2.92
Ag37 0.7684 0.4189 0.8471  1 Ag 2.73, 2 Tl 2.80-2.89, 2 Au 2.81-2.92
Ag38 0.7684 0.8495 0.9213  1 Ag 2.73, 2 Tl 2.80-2.89, 2 Au 2.81-2.92
Ag39 0.8471 0.5787 0.4282  1 Ag 2.73, 2 Tl 2.80-2.89, 2 Au 2.81-2.92
Ag40 0.8471 0.7684 0.4189  1 Ag 2.73, 2 Tl 2.80-2.89, 2 Au 2.81-2.92
Ag41 0.8495 0.4282 0.0811  1 Ag 2.73, 2 Tl 2.80-2.89, 2 Au 2.81-2.92
Ag42 0.8495 0.9213 0.7684  1 Ag 2.73, 2 Tl 2.80-2.89, 2 Au 2.81-2.92
Ag43 0.9189 0.1505 0.5718  1 Ag 2.73, 2 Tl 2.80-2.89, 2 Au 2.81-2.92
Ag44 0.9189 0.2684 0.3471  1 Ag 2.73, 2 Tl 2.80-2.89, 2 Au 2.81-2.92
Ag45 0.9213 0.6529 0.0718  1 Ag 2.73, 2 Tl 2.80-2.89, 2 Au 2.81-2.92
Ag46 0.9213 0.7684 0.8495  1 Ag 2.73, 2 Tl 2.80-2.89, 2 Au 2.81-2.92
Ag47 0.9282 0.0787 0.3471  1 Ag 2.73, 2 Tl 2.80-2.89, 2 Au 2.81-2.92
Ag48 0.9282 0.3495 0.5811  1 Ag 2.73, 2 Tl 2.80-2.89, 2 Au 2.81-2.92
Au1 0.1250 0.2500 0.3750  8 Ag 2.81-2.92
Au2 0.1250 0.3750 0.7500  8 Ag 2.81-2.92
Au3 0.2500 0.3750 0.1250  8 Ag 2.81-2.92
Au4 0.2500 0.8750 0.6250  8 Ag 2.81-2.92
Au5 0.3750 0.1250 0.2500  8 Ag 2.81-2.92
Au6 0.3750 0.7500 0.1250  8 Ag 2.81-2.92
Au7 0.6250 0.2500 0.8750  8 Ag 2.81-2.92
Au8 0.6250 0.8750 0.7500  8 Ag 2.81-2.92
Au9 0.7500 0.1250 0.3750  8 Ag 2.81-2.92
Au10 0.7500 0.6250 0.8750  8 Ag 2.81-2.92
Au11 0.8750 0.6250 0.2500  8 Ag 2.81-2.92
Au12 0.8750 0.7500 0.6250  8 Ag 2.81-2.92



A plane-wave DFT calculation with PBE was carried out for a geometry-optimized BaCa2HoAu4 structure.

Summary:
Formation energy from the elements ... -0.76 eV per atom

a b c (Å): 9.8587 9.8587 9.8587
angles (deg): 30.14 30.14 30.14
Last column: nearest neighbours and their distance in Å.
Sites, in units of the cell vectors:
Ba1 0.0000 0.0000 0.0000  8 Au 3.45-3.74
Ca1 0.2415 0.2415 0.2415  7 Au 3.07-3.18
Ca2 0.7585 0.7585 0.7585  7 Au 3.07-3.18
Ho1 0.5000 0.5000 0.5000  8 Au 2.94-3.11
Au1 0.1326 0.1326 0.1326  4 Ca 3.07-3.18, 3 Ho 3.11
Au2 0.3960 0.3960 0.3960  1 Ho 2.94, 3 Ca 3.07
Au3 0.6040 0.6040 0.6040  1 Ho 2.94, 3 Ca 3.07
Au4 0.8674 0.8674 0.8674  4 Ca 3.07-3.18, 3 Ho 3.11



A plane-wave DFT calculation with PBE was carried out for a geometry-optimized Ba2CaNiRh structure.

Summary:
Formation energy from the elements ... 0.26 eV per atom

a b c (Å): 6.0730 6.0730 4.8005
angles (deg): 90.00 90.00 90.00
Last column: nearest neighbours and their distance in Å.
Sites, in units of the cell vectors:
Ba1 0.0000 0.5000 0.0000  2 Rh 3.04
Ba2 0.5000 0.0000 0.0000  2 Rh 3.04
Ca1 0.0000 0.0000 0.5000  8 Ba 3.87, 4 Ni 4.29
Ni1 0.5000 0.5000 0.5000  2 Rh 2.40
Rh1 0.5000 0.5000 0.0000  2 Ni 2.40



A plane-wave DFT calculation with PBE was carried out for a geometry-optimized VTe2Pd structure.

Summary:
Energy relative to the lowest polymorph listed for this composition ... 0.029 eV/atom
Raw formation energy ... -12.8 kJ per mole of atoms

a b c (Å): 7.3665 7.3665 7.3665
angles (deg): 29.59 29.59 29.59
Last column: nearest neighbours and their distance in Å.
Sites, in units of the cell vectors:
V1 0.0000 0.0000 0.0000  6 Te 2.67-2.80
Te1 0.2599 0.2599 0.2599  3 V 2.67, 3 Pd 2.69
Te2 0.4171 0.4171 0.4171  3 V 2.80, 3 Pd 3.04
Pd1 0.8514 0.8514 0.8514  3 Te 2.69



A plane-wave DFT calculation with PBE was carried out for a geometry-optimized ScAlTe2 structure.

Summary:
Raw formation energy ... -65.7 kJ per mole of atoms

a b c (Å): 7.7226 7.7226 7.7226
angles (deg): 30.94 30.94 30.94
Last column: nearest neighbours and their distance in Å.
Sites, in units of the cell vectors:
Sc1 0.0000 0.0000 0.0000  6 Te 2.97
Al1 0.5000 0.5000 0.5000  6 Te 3.04
Te1 0.2528 0.2528 0.2528  3 Sc 2.97, 3 Al 3.04
Te2 0.7472 0.7472 0.7472  3 Sc 2.97, 3 Al 3.04



A plane-wave DFT calculation with PBE was carried out for a geometry-optimized CaDyAu2 structure.

Summary:
Formation energy from the elements ... -0.71 eV per atom

a b c (Å): 7.7985 7.7985 7.7985
angles (deg): 30.39 30.39 30.39
Last column: nearest neighbours and their distance in Å.
Sites, in units of the cell vectors:
Ca1 0.0000 0.0000 0.0000  6 Au 3.04-3.09
Dy1 0.8305 0.8305 0.8305  6 Au 2.93-2.96
Au1 0.2441 0.2441 0.2441  3 Dy 2.96, 3 Ca 3.09
Au2 0.4196 0.4196 0.4196  3 Dy 2.93, 3 Ca 3.04



A plane-wave DFT calculation with PBE was carried out for a geometry-optimized CdInP2 structure.

Summary:
Formation energy from the elements ... 0.03 eV per atom

a b c (Å): 6.3091 6.3091 5.3073
angles (deg): 114.61 114.61 29.65
Last column: nearest neighbours and their distance in Å.
Sites, in units of the cell vectors:
Cd1 0.0000 0.0000 0.0000  2 P 2.78, 4 In 3.11
In1 0.5000 0.5000 0.5000  2 P 2.84, 4 Cd 3.11
P1 0.2474 0.2474 0.1369  2 P 2.19
P2 0.7526 0.7526 0.8631  2 P 2.19



A plane-wave DFT calculation with PBE was carried out for a geometry-optimized SrAgAu3 structure.

Summary:
Formation energy from the elements ... -0.30 eV per atom
Energy relative to the lowest polymorph listed for this composition ... 0.000 eV/atom

a b c (Å): 6.7949 6.7949 12.6347
angles (deg): 90.00 90.00 120.00
Last column: nearest neighbours and their distance in Å.
Sites, in units of the cell vectors:
Sr1 0.0000 0.0000 0.0000  12 Au 3.40-3.53
Sr2 0.0000 0.0000 0.5000  12 Au 3.40-3.53
Sr3 0.3333 0.6667 0.2500  12 Au 3.42-3.72
Sr4 0.6667 0.3333 0.7500  12 Au 3.42-3.72
Ag1 0.3333 0.6667 0.6426  6 Au 2.66-2.72, 1 Ag 2.71
Ag2 0.3333 0.6667 0.8574  6 Au 2.66-2.72, 1 Ag 2.71
Ag3 0.6667 0.3333 0.1426  6 Au 2.66-2.72, 1 Ag 2.71
Ag4 0.6667 0.3333 0.3574  6 Au 2.66-2.72, 1 Ag 2.71
Au1 0.0000 0.5000 0.0000  2 Ag 2.66
Au2 0.0000 0.5000 0.5000  2 Ag 2.66
Au3 0.1332 0.2664 0.7500  2 Au 2.71, 2 Ag 2.72
Au4 0.1332 0.8668 0.7500  2 Au 2.71, 2 Ag 2.72
Au5 0.2664 0.1332 0.2500  2 Au 2.71, 2 Ag 2.72
Au6 0.5000 0.0000 0.0000  2 Ag 2.66
Au7 0.5000 0.0000 0.5000  2 Ag 2.66
Au8 0.5000 0.5000 0.0000  2 Ag 2.66
Au9 0.5000 0.5000 0.5000  2 Ag 2.66
Au10 0.7336 0.8668 0.7500  2 Au 2.71, 2 Ag 2.72
Au11 0.8668 0.1332 0.2500  2 Au 2.71, 2 Ag 2.72
Au12 0.8668 0.7336 0.2500  2 Au 2.71, 2 Ag 2.72